(1)
First-principles (PBE) data for a relaxed structure of NpGa2HgO8, as listed in the Alexandria database.

Values from the calculation:
- calculated volume (Å³/cell) = 151.4
- final energy (eV per atom) = -6.48
- energy relative to the elements, uncorrected (eV per atom) = -1.568
- symmetry = No. 12

Lattice parameters (Å, degrees): 4.879 4.879 6.382 93.02 93.02 87.47
Fractional positions:
1 Np 0.000 0.000 0.000
2 Ga 0.484 0.484 0.743
3 Ga 0.516 0.516 0.257
4 Hg 0.000 0.000 0.500
5 O 0.202 0.202 0.765
6 O 0.215 0.215 0.197
7 O 0.309 0.691 0.000
8 O 0.324 0.676 0.500
9 O 0.676 0.324 0.500
10 O 0.691 0.309 0.000
11 O 0.785 0.785 0.803
12 O 0.798 0.798 0.235


(2)
First-principles (PBE) data for a relaxed structure of NpZnGaHg, as listed in the Alexandria database.

Values from the calculation:
- calculated volume (Å³/cell) = 330.0
- ΔE_f (eV/atom) = 0.100
- final energy (eV per atom) = -4.29
- symmetry = No. 216

Lattice parameters (Å, degrees): 6.910 6.910 6.910 90.00 90.00 90.00
Fractional positions:
1 Np 0.000 0.000 0.000
2 Np 0.000 0.500 0.500
3 Np 0.500 0.000 0.500
4 Np 0.500 0.500 0.000
5 Zn 0.250 0.250 0.250
6 Zn 0.250 0.750 0.750
7 Zn 0.750 0.250 0.750
8 Zn 0.750 0.750 0.250
9 Ga 0.250 0.250 0.750
10 Ga 0.250 0.750 0.250
11 Ga 0.750 0.250 0.250
12 Ga 0.750 0.750 0.750
13 Hg 0.000 0.000 0.500
14 Hg 0.000 0.500 0.000
15 Hg 0.500 0.000 0.000
16 Hg 0.500 0.500 0.500